(i)
# NaTlRe3, optimized geometry, DFT GGA-PBE
# Spin magnetization = 4.4 μB per cell
data_NaTlRe3
_chemical_formula_sum 'Na1 Tl1 Re3'
_space_group_name_H-M_alt 'P m -3 m'
_space_group_IT_number 221
_space_group_name_Hall '-P 4 2 3'
_cell_length_a 5.057
_cell_length_b 5.057
_cell_length_c 5.057
_cell_angle_alpha 90.00
_cell_angle_beta 90.00
_cell_angle_gamma 90.00
loop_
_atom_site_label
_atom_site_type_symbol
_atom_site_fract_x
_atom_site_fract_y
_atom_site_fract_z
Na1 Na 0.000 0.000 0.000
Tl1 Tl 0.500 0.500 0.500
Re1 Re 0.000 0.500 0.500

(ii)
# NaTlRe3, optimized geometry, DFT GGA-PBE
# Spin magnetization = 4.5 μB per cell
data_NaTlRe3
_chemical_formula_sum 'Na1 Tl1 Re3'
_space_group_name_H-M_alt 'P m -3 m'
_space_group_IT_number 221
_space_group_name_Hall '-P 4 2 3'
_cell_length_a 4.581
_cell_length_b 4.581
_cell_length_c 4.581
_cell_angle_alpha 90.00
_cell_angle_beta 90.00
_cell_angle_gamma 90.00
loop_
_atom_site_label
_atom_site_type_symbol
_atom_site_fract_x
_atom_site_fract_y
_atom_site_fract_z
Na1 Na 0.000 0.000 0.000
Tl1 Tl 0.500 0.500 0.500
Re1 Re 0.000 0.000 0.500

Which structure is the least stable? The one labeled (i).